No. 1
Here is a relaxed structure of Dy2S2Br from the Alexandria database. Energies are from PBE-GGA.

Properties
- Space-group type: C2/m (12)
- Formation energy (no corrections): -1.959 eV/atom

abc: 6.8261 6.8261 8.1434
angles: 106.44 106.44 46.95
Fractional positions:
Dy 0.0050 0.0050 0.2375
Dy 0.3387 0.3387 0.9310
Dy 0.6613 0.6613 0.0690
Dy 0.9950 0.9950 0.7625
S 0.1640 0.1640 0.0745
S 0.4967 0.4967 0.7620
S 0.5033 0.5033 0.2380
S 0.8360 0.8360 0.9255
Br 0.1646 0.1646 0.5866
Br 0.8354 0.8354 0.4134

***

No. 2
Here is a relaxed structure of LaNd2Pt2 from the Alexandria database. Energies are from PBE-GGA.

Properties
- Space-group type: P4/mbm (127)
- E_form: -0.91 eV per atom
- Polymorph energy (0 for the lowest one): 0.0 meV/atom

abc: 8.0209 8.0209 4.1008
angles: 90.00 90.00 90.00
Fractional positions:
La 0.0000 0.0000 0.0000
La 0.5000 0.5000 0.0000
Nd 0.1613 0.3387 0.5000
Nd 0.3387 0.8387 0.5000
Nd 0.6613 0.1613 0.5000
Nd 0.8387 0.6613 0.5000
Pt 0.1336 0.6336 0.0000
Pt 0.3664 0.1336 0.0000
Pt 0.6336 0.8664 0.0000
Pt 0.8664 0.3664 0.0000